DFT (PBE) results for a geometry-optimized CaIn2Cl6 structure.

CIF file:
```
data_CaIn2Cl6
_chemical_formula_sum 'Ca4 In8 Cl24'
_space_group_name_H-M_alt 'C 1 2/c 1'
_space_group_IT_number 15
_space_group_name_Hall '-C 2yc'
_cell_length_a 9.2792
_cell_length_b 12.0857
_cell_length_c 12.2196
_cell_angle_alpha 90.00
_cell_angle_beta 110.06
_cell_angle_gamma 90.00
loop_
_atom_site_label
_atom_site_type_symbol
_atom_site_fract_x
_atom_site_fract_y
_atom_site_fract_z
Ca1 Ca 0.0000 0.0832 0.2500
In1 In 0.1283 0.4270 0.2172
Cl1 Cl 0.1109 0.0771 0.6383
Cl2 Cl 0.1110 0.2382 0.1322
Cl3 Cl 0.2021 0.4464 0.5877
```

Values from the calculation:
Polymorph energy (0 for the lowest one) ... 0.0 meV/atom
Raw total energy ... -31.66 eV/f.u.
Energy relative to the elements, uncorrected ... -1456 meV per atom
Total magnetic moment ... 0.00 μB/f.u.